DFT (PBE) results for crystalline HgSI at its relaxed geometry.

```
HgSI
1.0
4.2507 0.0000 0.0000
0.2239 6.7815 0.0000
0.0890 2.1928 7.0116
Hg S I
2 2 2
Direct
0.0026 0.1387 0.2004
0.9974 0.8613 0.7996
0.4942 0.1495 0.4069
0.5058 0.8505 0.5931
0.0281 0.6880 0.1979
0.9719 0.3120 0.8021
```

Calculated values
raw formation energy: -0.13 eV/atom
SG: No. 2
excess energy over the best structure of this formula in the dataset: 9 meV/atom
final energy: -2.12 eV/atom

---

DFT (PBE) results for crystalline Hg2SI3 at its relaxed geometry.

```
Hg2SI3
1.0
6.6182 -6.0613 0.0000
6.6182 6.0613 0.0000
-5.6744 0.0000 7.1045
Hg S I
4 2 6
Direct
0.1586 0.8414 0.0000
0.2077 0.7923 0.5000
0.7923 0.2077 0.5000
0.8414 0.1586 0.0000
0.1010 0.1010 0.6034
0.8990 0.8990 0.3966
0.2044 0.2044 0.1552
0.2916 0.6512 0.7461
0.3488 0.7084 0.2539
0.6512 0.2916 0.7461
0.7084 0.3488 0.2539
0.7956 0.7956 0.8448
```

Calculated values
raw formation energy: -0.06 eV/atom
SG: No. 12
final energy: -1.62 eV/atom

---

DFT (PBE) results for crystalline HgSI at its relaxed geometry.

```
HgSI
1.0
4.3120 0.0000 0.0000
-2.1480 3.8653 0.0000
-0.1071 -1.8923 5.8743
Hg S I
1 1 1
Direct
0.0000 0.0000 0.0000
0.3188 0.6440 0.8737
0.3086 0.6279 0.4012
```

Calculated values
raw formation energy: 0.05 eV/atom
SG: No. 1
excess energy over the best structure of this formula in the dataset: 187 meV/atom
final energy: -1.94 eV/atom

---

> Which of these has the lowest final energy?

number 1